No. 1
Ac3AsAu: optimized geometry, GGA-PBE.

The energy relative to the elements is -0.273 eV per atom. Its theoretical density is 7.64 Mg/m³.

The structure belongs to space group Pm-3m (No. 221); the cell edges are 5.916, 5.916 and 5.916 Å and the angles 90.00°, 90.00° and 90.00°. Symmetry generates all atoms from Ac at (0.000, 0.000, 0.500), As at (0.000, 0.000, 0.000) and Au at (0.500, 0.500, 0.500).

No. 2
Ac3As2Au4: optimized geometry, GGA-PBE.

The energy relative to the elements is -0.937 eV per atom. Its theoretical density is 11.31 Mg/m³.

The structure belongs to space group C2/m (No. 12); the cell edges are 11.774, 4.646 and 9.150 Å and the angles 90.00°, 108.31° and 90.00°. Symmetry generates all atoms from Ac at (0.000, 0.000, 0.000), Ac at (0.167, 0.500, 0.661), As at (0.113, 0.500, 0.277), Au at (0.044, 0.000, 0.376) and Au at (0.236, 0.500, 0.074).

No. 3
Ac3As4Au2: optimized geometry, GGA-PBE.

The energy relative to the elements is -0.965 eV per atom. Its theoretical density is 9.02 Mg/m³.

The structure belongs to space group C2/m (No. 12); the cell edges are 14.310, 4.453 and 9.068 Å and the angles 90.00°, 118.81° and 90.00°. Symmetry generates all atoms from Ac at (0.000, 0.000, 0.000), Ac at (0.149, 0.500, 0.724), As at (0.062, 0.000, 0.405), As at (0.179, 0.500, 0.094) and Au at (0.122, 0.500, 0.323).

No. 4
AcAs2Au2: optimized geometry, GGA-PBE.

The energy relative to the elements is -0.590 eV per atom. Its theoretical density is 10.51 Mg/m³. The offset from the most stable computed form is 0.00 kcal/mol of atoms.

The structure belongs to space group Pnma (No. 62); the cell edges are 8.611, 5.118 and 11.052 Å and the angles 90.00°, 90.00° and 90.00°. Symmetry generates all atoms from Ac at (0.189, 0.250, 0.163), As at (0.034, 0.250, 0.425), As at (0.067, 0.250, 0.880), Au at (0.010, 0.250, 0.657) and Au at (0.173, 0.750, 0.970).

No. 5
AcAs2Au: optimized geometry, GGA-PBE.

The energy relative to the elements is -0.514 eV per atom. Its theoretical density is 9.33 Mg/m³. The offset from the most stable computed form is 5.86 kcal/mol of atoms.

The structure belongs to space group R-3m (No. 166, hexagonal axes); the cell edges are 5.6139, 5.6139 and 11.2218 Å and the angles 90.00°, 90.00° and 120.00°. Symmetry generates all atoms from Ac at (0.0000, 0.0000, 0.0000), As at (0.0000, 0.0000, 0.2787) and Au at (0.0000, 0.0000, 0.5000).

No. 6
AcAs2Au: optimized geometry, GGA-PBE.

The energy relative to the elements is -0.768 eV per atom. Its theoretical density is 9.71 Mg/m³. The offset from the most stable computed form is 0.00 kcal/mol of atoms.

The structure belongs to space group Fmm2 (No. 42); the cell edges are 6.057, 21.419 and 6.050 Å and the angles 90.00°, 90.00° and 90.00°. Symmetry generates all atoms from Ac at (0.000, 0.118, 0.000), As at (0.000, 0.168, 0.500), As at (0.212, 0.000, 0.725) and Au at (0.250, 0.250, 0.255).

No. 7
AcAs2Au: optimized geometry, GGA-PBE.

The energy relative to the elements is -0.252 eV per atom. Its theoretical density is 9.45 Mg/m³. The offset from the most stable computed form is 11.89 kcal/mol of atoms.

The structure belongs to space group P4/mmm (No. 123); the cell edges are 4.042, 4.042 and 6.171 Å and the angles 90.00°, 90.00° and 90.00°. Symmetry generates all atoms from Ac at (0.000, 0.000, 0.000), As at (0.500, 0.500, 0.296) and Au at (0.000, 0.000, 0.500).

No. 8
AcAs3Au3: optimized geometry, GGA-PBE.

The energy relative to the elements is -0.225 eV per atom. Its theoretical density is 9.52 Mg/m³.

The structure belongs to space group Pm-3n (No. 223); the cell edges are 7.137, 7.137 and 7.137 Å and the angles 90.00°, 90.00° and 90.00°. Symmetry generates all atoms from Ac at (0.000, 0.000, 0.000), As at (0.000, 0.250, 0.500) and Au at (0.000, 0.500, 0.250).

No. 9
AcAsAu2: optimized geometry, GGA-PBE.

The energy relative to the elements is -0.736 eV per atom. Its theoretical density is 12.03 Mg/m³.

The structure belongs to space group Cmcm (No. 63); the cell edges are 4.482, 11.066 and 7.746 Å and the angles 90.00°, 90.00° and 90.00°. Symmetry generates all atoms from Ac at (0.000, 0.082, 0.250), As at (0.000, 0.210, 0.750) and Au at (0.000, 0.382, 0.060).

No. 10
Ac2AsAu: optimized geometry, GGA-PBE.

The energy relative to the elements is -0.853 eV per atom. Its theoretical density is 10.17 Mg/m³. The offset from the most stable computed form is 5.87 kcal/mol of atoms.

The structure belongs to space group Fm-3m (No. 225); the cell edges are 7.798, 7.798 and 7.798 Å and the angles 90.00°, 90.00° and 90.00°. Symmetry generates all atoms from Ac at (0.250, 0.250, 0.250), As at (0.000, 0.000, 0.000) and Au at (0.000, 0.000, 0.500).

No. 11
Ac2As2Au3: optimized geometry, GGA-PBE.

The energy relative to the elements is -0.802 eV per atom. Its theoretical density is 10.93 Mg/m³.

The structure belongs to space group C2/m (No. 12); the cell edges are 11.833, 4.574 and 6.710 Å and the angles 90.00°, 90.96° and 90.00°. Symmetry generates all atoms from Ac at (0.131, 0.000, 0.240), As at (0.173, 0.000, 0.740), Au at (0.000, 0.500, 0.500) and Au at (0.093, 0.500, 0.877).

No. 12
AcAs2Au: optimized geometry, GGA-PBE.

The energy relative to the elements is -0.748 eV per atom. Its theoretical density is 9.74 Mg/m³. The offset from the most stable computed form is 0.46 kcal/mol of atoms.

The structure belongs to space group P4/nmm (No. 129, origin choice 2); the cell edges are 4.265, 4.265 and 10.754 Å and the angles 90.00°, 90.00° and 90.00°. Symmetry generates all atoms from Ac at (0.250, 0.250, 0.236), As at (0.250, 0.250, 0.664), As at (0.250, 0.750, 0.000) and Au at (0.250, 0.750, 0.500).